Below is an optimized crystal structure of ScMnTcI2, with properties calculated at the PBE level.

The calculation puts the uncorrected formation energy at 0.745 eV/atom. Its space group is P4/mmm, No. 123. The value obtained for the total magnetization is 4.6 μB per formula unit.

Cell: 5.4268 4.8870 5.4268 Å, 90.00 90.00 90.00°
Fractional coordinates of all 5 atoms:
Sc (0.0000, 0.5000, 0.0000)
I (0.5000, 0.0000, 0.0000)
I (0.0000, 0.0000, 0.5000)
Mn (0.5000, 0.5000, 0.5000)
Tc (0.0000, 0.0000, 0.0000)

Below is an optimized crystal structure of Sc3AsC, with properties calculated at the PBE level.

The value obtained for the formation energy is -0.762 eV per atom. Its space group is Pm-3m, No. 221. The value obtained for the total magnetization is 0.0 μB per formula unit.

Cell: 4.4392 4.4392 4.4392 Å, 90.00 90.00 90.00°
Fractional coordinates of all 5 atoms:
C (0.0000, 0.0000, 0.0000)
As (0.5000, 0.5000, 0.5000)
Sc (0.0000, 0.5000, 0.0000)
Sc (0.5000, 0.0000, 0.0000)
Sc (0.0000, 0.0000, 0.5000)

Below is an optimized crystal structure of ScAlCoTc, with properties calculated at the PBE level.

The value obtained for the formation energy is -0.275 eV per atom. Its space group is F-43m, No. 216. The value obtained for the total magnetization is 0.0 μB per formula unit.

Cell: 4.3462 4.3462 4.3462 Å, 60.00 60.00 60.00°
Fractional coordinates of all 4 atoms:
Co (0.7500, 0.7500, 0.7500)
Al (0.5000, 0.5000, 0.5000)
Tc (0.2500, 0.2500, 0.2500)
Sc (0.0000, 0.0000, 0.0000)

Below is an optimized crystal structure of Cd2ReHCl, with properties calculated at the PBE level.

Its final energy is -14.3 eV/cell. Its space group is P4/mmm, No. 123. The value obtained for the total magnetization is 2.2 μB per formula unit.

Cell: 4.0355 5.0136 4.0355 Å, 90.00 90.00 90.00°
Fractional coordinates of all 5 atoms:
Cl (0.0000, 0.5000, 0.0000)
Re (0.5000, 0.5000, 0.5000)
Cd (0.0000, 0.0000, 0.5000)
Cd (0.5000, 0.0000, 0.0000)
H (0.0000, 0.0000, 0.0000)

Below is an optimized crystal structure of MgZrV3, with properties calculated at the PBE level.

The distance to the lowest polymorph of the same formula is 0 meV per atom. The value obtained for the formation energy is 1.478 eV per atom. Its space group is Pm-3m, No. 221. The value obtained for the total magnetization is 2.9 μB per formula unit.

Cell: 4.7279 4.7279 4.7279 Å, 90.00 90.00 90.00°
Fractional coordinates of all 5 atoms:
Zr (0.0000, 0.0000, 0.0000)
Mg (0.5000, 0.5000, 0.5000)
V (0.0000, 0.5000, 0.0000)
V (0.5000, 0.0000, 0.0000)
V (0.0000, 0.0000, 0.5000)

Below is an optimized crystal structure of PmPdO2, with properties calculated at the PBE level.

The calculation puts the uncorrected formation energy at -0.812 eV/atom. Its space group is R-3m, No. 166. The value obtained for the total magnetization is 0.0 μB per formula unit.

Cell: 3.5712 3.5712 6.3976 Å, 73.79 73.79 60.00°
Fractional coordinates of all 4 atoms:
O (0.1248, 0.1248, 0.6255)
O (0.8752, 0.8752, 0.3745)
Pd (0.5000, 0.5000, 0.5000)
Pm (0.0000, 0.0000, 0.0000)